First-principles (PBE) data for YTh3O after structural relaxation, as listed in the Alexandria database.

**Total energy**: -39.0 eV/cell
**SG**: No. 221
**Uncorrected formation energy**: -1.069 eV per atom
**Magnetic moment**: 0.00 μB per cell

Lattice parameters (Å, degrees): 5.087 5.087 5.087 90.00 90.00 90.00
Positions (direct):
Y1 0.500 0.500 0.500
O1 0.000 0.000 0.000
Th1 0.000 0.500 0.000
Th2 0.000 0.000 0.500
Th3 0.500 0.000 0.000



First-principles (PBE) data for La2DyCd after structural relaxation, as listed in the Alexandria database.

**Energy relative to the elements**: -0.25 eV/f.u.
**Total energy**: -15.6 eV/cell
**SG**: No. 225
**Magnetic moment**: 0.00 μB per cell
**Energy relative to the lowest polymorph listed for this composition**: 0.37 eV per formula unit

Lattice parameters (Å, degrees): 5.651 5.651 5.651 60.00 60.00 60.00
Positions (direct):
Cd1 0.000 0.000 0.000
La1 0.250 0.250 0.250
La2 0.750 0.750 0.750
Dy1 0.500 0.500 0.500